Entry 1:
Here is crystalline NaRu3S at its relaxed geometry from Alexandria via LeMat-Bulk. Energies are from GGA-PBE. Values from VASP.

- Crystal system: cubic
- Formation energy from raw total energies: 0.485 eV per atom
- Space-group type: Pm-3m, No. 221
- Density of states at the Fermi level: 1.381 states/eV/atom
- Energy: -6.170 eV/atom
- M_tot: 0.87 μB per cell

Cell and atoms, written as Quantum ESPRESSO input:
```
&SYSTEM
  ibrav = 0, nat = 5, ntyp = 3
/
ATOMIC_SPECIES
Na 22.99 Na.upf
Ru 101.07 Ru.upf
S 32.06 S.upf
ATOMIC_POSITIONS crystal
Na 0.000 0.000 0.000
Ru 0.000 0.500 0.500
Ru 0.500 0.000 0.500
Ru 0.500 0.500 0.000
S 0.500 0.500 0.500
CELL_PARAMETERS angstrom
4.383 0.000 0.000
0.000 4.383 0.000
0.000 0.000 4.383
```

Entry 2:
Here is crystalline Na3RuS at its relaxed geometry from Alexandria via LeMat-Bulk. Energies are from GGA-PBE. Values from VASP.

- Crystal system: cubic
- Formation energy from raw total energies: 0.414 eV per atom
- Space-group type: Pm-3m, No. 221
- Density of states at the Fermi level: 0.431 states/eV/atom
- Energy: -3.058 eV/atom
- M_tot: 3.00 μB per cell

Cell and atoms, written as Quantum ESPRESSO input:
```
&SYSTEM
  ibrav = 0, nat = 5, ntyp = 3
/
ATOMIC_SPECIES
Na 22.99 Na.upf
Ru 101.07 Ru.upf
S 32.06 S.upf
ATOMIC_POSITIONS crystal
Na 0.000 0.000 0.500
Na 0.000 0.500 0.000
Na 0.500 0.000 0.000
Ru 0.500 0.500 0.500
S 0.000 0.000 0.000
CELL_PARAMETERS angstrom
5.292 0.000 0.000
0.000 5.292 0.000
0.000 0.000 5.292
```

Q: What is the formation energy from raw total energies in the second record?
A: 0.414 eV per atom

Q: Number 2 is which compound?
A: Na3RuS